(1)
SmTm4Sc6: optimized geometry, PBE.

Properties
The calculation puts the uncorrected energy at -5.415 eV per atom. The total magnetic moment is 0.01 Bohr magnetons per cell. The formation energy from the elements is 1.0 eV/f.u.

Unit cell a=17.356 b=17.356 c=3.328 alpha=90.00 beta=90.00 gamma=162.40
Fractional coordinates of all 11 atoms:
Sm (0.000, 0.000, 0.000)
Tm (0.184, 0.816, 0.000)
Tm (0.441, 0.559, 0.000)
Tm (0.559, 0.441, 0.000)
Tm (0.816, 0.184, 0.000)
Sc (0.093, 0.907, 0.500)
Sc (0.271, 0.729, 0.500)
Sc (0.358, 0.642, 0.500)
Sc (0.642, 0.358, 0.500)
Sc (0.729, 0.271, 0.500)
Sc (0.907, 0.093, 0.500)

(2)
NaTlI2: optimized geometry, PBE.

Properties
The calculation puts the uncorrected energy at -2.650 eV per atom. The total magnetic moment is 0.00 Bohr magnetons per cell. The excess energy over the best structure of this formula in the dataset comes out at 0.0 meV per atom.

Unit cell a=8.473 b=8.473 c=8.473 alpha=32.74 beta=32.74 gamma=32.74
Fractional coordinates of all 4 atoms:
Na (0.000, 0.000, 0.000)
Tl (0.500, 0.500, 0.500)
I (0.259, 0.259, 0.259)
I (0.741, 0.741, 0.741)

(3)
Li3BiO4: optimized geometry, PBE.

Properties
The calculation puts the uncorrected energy at -5.213 eV per atom. The total magnetic moment is 0.00 Bohr magnetons per cell.

Unit cell a=8.864 b=8.864 c=4.311 alpha=90.00 beta=90.00 gamma=90.00
Fractional coordinates of all 32 atoms:
Li (0.104, 0.386, 0.000)
Li (0.114, 0.604, 0.500)
Li (0.130, 0.870, 0.000)
Li (0.370, 0.370, 0.500)
Li (0.386, 0.104, 0.000)
Li (0.396, 0.886, 0.500)
Li (0.604, 0.114, 0.500)
Li (0.614, 0.896, 0.000)
Li (0.630, 0.630, 0.500)
Li (0.870, 0.130, 0.000)
Li (0.886, 0.396, 0.500)
Li (0.896, 0.614, 0.000)
Bi (0.134, 0.134, 0.500)
Bi (0.366, 0.634, 0.000)
Bi (0.634, 0.366, 0.000)
Bi (0.866, 0.866, 0.500)
O (0.113, 0.887, 0.500)
O (0.121, 0.367, 0.500)
O (0.125, 0.125, 0.000)
O (0.133, 0.621, 0.000)
O (0.367, 0.121, 0.500)
O (0.375, 0.625, 0.500)
O (0.379, 0.867, 0.000)
O (0.387, 0.387, 0.000)
O (0.613, 0.613, 0.000)
O (0.621, 0.133, 0.000)
O (0.625, 0.375, 0.500)
O (0.633, 0.879, 0.500)
O (0.867, 0.379, 0.000)
O (0.875, 0.875, 0.000)
O (0.879, 0.633, 0.500)
O (0.887, 0.113, 0.500)

What is the total magnetic moment in the second record? 0.00 Bohr magnetons per cell

What is the formula in the first record? SmTm4Sc6

total magnetic moment of number 1 (SmTm4Sc6)? 0.01 Bohr magnetons per cell

Number 2 is which compound? NaTlI2